(1)
DFT (meta-GGA SCAN) results for Ta2TlIr at its PBEsol-relaxed geometry.

Output
- N(E_F) (states/eV/f.u.) = 2.7
- relative energy among the computed polymorphs (eV per atom) = 0.0116
- mass density (g/cm3) = 18.05
- crystal system = orthorhombic
- energy (eV per atom) = -69.07
- formation energy (eV per atom) = 0.09

```
data_Ta2TlIr
_chemical_formula_sum 'Ta2 Tl1 Ir1'
_symmetry_space_group_name_H-M 'P 1'
_symmetry_Int_Tables_number 1
_cell_length_a 5.119
_cell_length_b 5.119
_cell_length_c 5.119
_cell_angle_alpha 137.07
_cell_angle_beta 128.97
_cell_angle_gamma 68.83
loop_
_symmetry_equiv_pos_as_xyz
'x,y,z'
loop_
_atom_site_label
_atom_site_fract_x
_atom_site_fract_y
_atom_site_fract_z
Ta1 0.236 0.236 0.000
Ta2 0.764 0.764 0.000
Tl1 0.500 0.000 0.500
Ir1 0.000 0.500 0.500
```

(2)
DFT (meta-GGA SCAN) results for YMgZrMn2 at its PBEsol-relaxed geometry.

Output
- N(E_F) (states/eV/f.u.) = 2.7
- mass density (g/cm3) = 4.55
- crystal system = tetragonal
- energy (eV per atom) = -19.40
- formation energy (eV per atom) = 0.60

```
data_YMgZrMn2
_chemical_formula_sum 'Y1 Mg1 Zr1 Mn2'
_symmetry_space_group_name_H-M 'P 1'
_symmetry_Int_Tables_number 1
_cell_length_a 4.660
_cell_length_b 4.660
_cell_length_c 5.278
_cell_angle_alpha 90.00
_cell_angle_beta 90.00
_cell_angle_gamma 90.00
loop_
_symmetry_equiv_pos_as_xyz
'x,y,z'
loop_
_atom_site_label
_atom_site_fract_x
_atom_site_fract_y
_atom_site_fract_z
Y1 0.000 0.000 0.000
Mg1 0.500 0.500 0.000
Zr1 0.500 0.500 0.500
Mn1 0.000 0.500 0.500
Mn2 0.500 0.000 0.500
```